Record 1
! VRuBr3 (PBE, relaxed); values from VASP
&SYSTEM
  ibrav = 0, nat = 5, ntyp = 3
/
ATOMIC_SPECIES
V 50.94 V.upf
Br 79.90 Br.upf
Ru 101.07 Ru.upf
CELL_PARAMETERS angstrom
5.144 0.000 0.000
0.000 5.144 0.000
0.000 0.000 5.144
ATOMIC_POSITIONS crystal
V 0.000 0.000 0.000
Br 0.000 0.000 0.500
Br 0.000 0.500 0.000
Ru 0.500 0.500 0.500
Br 0.500 0.000 0.000
! ρ, g/cm3: 4.78
! Symmetry: Pm-3m, No. 221
! Energy above the most stable polymorph in this dataset, meV per atom: 0

=====

Record 2
! PuThHg2 (PBE, relaxed); values from VASP
&SYSTEM
  ibrav = 0, nat = 4, ntyp = 3
/
ATOMIC_SPECIES
Pu 244.00 Pu.upf
Hg 200.59 Hg.upf
Th 232.04 Th.upf
CELL_PARAMETERS angstrom
-0.022 -2.681 4.657
2.187 -4.900 0.290
4.589 -0.739 2.697
ATOMIC_POSITIONS crystal
Pu 0.500 0.500 0.500
Hg 0.750 0.750 0.750
Th 0.000 0.000 0.000
Hg 0.250 0.250 0.250
! ρ, g/cm3: 13.28
! ΔH_f (0 K), eV/atom: -0.14
! Symmetry: Fm-3m, No. 225
! Energy above the most stable polymorph in this dataset, meV per atom: 14

=====

Record 3
! Ta5Cd (PBE, relaxed); values from VASP
&SYSTEM
  ibrav = 0, nat = 6, ntyp = 2
/
ATOMIC_SPECIES
Ta 180.95 Ta.upf
Cd 112.41 Cd.upf
CELL_PARAMETERS angstrom
0.000 3.881 3.881
3.881 0.000 3.881
3.881 3.881 0.000
ATOMIC_POSITIONS crystal
Ta 0.869 0.377 0.377
Cd 0.000 0.000 0.000
Ta 0.377 0.377 0.377
Ta 0.377 0.377 0.869
Ta 0.750 0.750 0.750
Ta 0.377 0.869 0.377
! ρ, g/cm3: 14.45
! ΔH_f (0 K), eV/atom: 0.38
! Symmetry: F-43m, No. 216
! Energy above the most stable polymorph in this dataset, meV per atom: 214

=====

Record 4
! TbTmTlAu (PBE, relaxed); values from VASP
&SYSTEM
  ibrav = 0, nat = 4, ntyp = 4
/
ATOMIC_SPECIES
Au 196.97 Au.upf
Tm 168.93 Tm.upf
Tl 204.38 Tl.upf
Tb 158.93 Tb.upf
CELL_PARAMETERS angstrom
-3.496 -0.523 0.731
-0.502 -1.296 -3.331
1.584 -7.078 2.515
ATOMIC_POSITIONS crystal
Au 0.000 0.000 0.370
Tm 0.500 0.500 0.583
Tl 0.000 0.000 0.851
Tb 0.500 0.500 0.124
! ρ, g/cm3: 12.11
! ΔH_f (0 K), eV/atom: -0.61
! Symmetry: P4mm, No. 99
! Energy above the most stable polymorph in this dataset, meV per atom: 0

=====

Record 5
! SnCNCl3 (PBE, relaxed); values from VASP
&SYSTEM
  ibrav = 0, nat = 12, ntyp = 4
/
ATOMIC_SPECIES
N 14.01 N.upf
Sn 118.71 Sn.upf
Cl 35.45 Cl.upf
C 12.01 C.upf
CELL_PARAMETERS angstrom
10.025 0.000 0.000
0.000 4.197 0.901
0.000 1.739 8.623
ATOMIC_POSITIONS crystal
N 0.301 0.085 0.372
Sn 0.853 0.341 0.623
Cl 0.690 0.867 0.514
C 0.680 0.843 0.993
Sn 0.147 0.341 0.123
Cl 0.658 0.511 0.161
N 0.699 0.085 0.872
Cl 0.013 0.624 0.308
Cl 0.310 0.867 0.014
Cl 0.987 0.624 0.808
C 0.320 0.843 0.493
Cl 0.342 0.511 0.661
! ρ, g/cm3: 2.40
! Symmetry: Pc, No. 7
! Energy above the most stable polymorph in this dataset, meV per atom: 0

=====

Record 6
! ScAlTe2 (PBE, relaxed); values from VASP
&SYSTEM
  ibrav = 0, nat = 4, ntyp = 3
/
ATOMIC_SPECIES
Al 26.98 Al.upf
Sc 44.96 Sc.upf
Te 127.60 Te.upf
CELL_PARAMETERS angstrom
8.705 -0.077 -0.046
7.782 3.901 -0.046
7.782 1.805 3.458
ATOMIC_POSITIONS crystal
Al 0.501 0.501 0.501
Sc 0.753 0.753 0.753
Te 0.024 0.024 0.024
Te 0.222 0.222 0.222
! ρ, g/cm3: 4.49
! Energy, Ha/atom: -0.16988
! Symmetry: R3m, No. 160

=====

Record 7
! La8GaPt3I4 (PBE, relaxed); values from VASP
&SYSTEM
  ibrav = 0, nat = 16, ntyp = 4
/
ATOMIC_SPECIES
La 138.91 La.upf
Pt 195.08 Pt.upf
I 126.90 I.upf
Ga 69.72 Ga.upf
CELL_PARAMETERS angstrom
-3.251 8.114 -0.581
-8.863 -3.581 -0.417
4.926 -2.262 6.887
ATOMIC_POSITIONS crystal
La 0.765 0.308 0.529
Pt 0.500 0.500 0.000
Pt 0.000 0.500 0.500
I 0.000 0.000 0.000
La 0.235 0.692 0.471
La 0.269 0.306 0.537
Ga 0.000 0.500 0.000
La 0.236 0.692 0.957
La 0.731 0.694 0.463
La 0.764 0.308 0.043
La 0.721 0.692 0.957
Pt 0.500 0.500 0.500
I 0.500 0.000 0.500
I 0.500 0.000 0.000
I 0.000 0.000 0.500
La 0.279 0.308 0.043
! ρ, g/cm3: 6.99
! Energy, Ha/atom: -0.19337
! Symmetry: R-3m, No. 166

=====

Record 8
! K2ReIr (PBE, relaxed); values from VASP
&SYSTEM
  ibrav = 0, nat = 4, ntyp = 3
/
ATOMIC_SPECIES
Ir 192.22 Ir.upf
Re 186.21 Re.upf
K 39.10 K.upf
CELL_PARAMETERS angstrom
-5.028 8.714 2.820
-7.160 5.062 5.681
8.075 -5.939 -2.949
ATOMIC_POSITIONS crystal
Ir 0.750 0.250 0.500
Re 0.250 0.750 0.500
K 0.608 0.608 0.000
K 0.892 0.892 0.000
! ρ, g/cm3: 6.03
! ΔH_f (0 K), eV/atom: 0.69
! Symmetry: Immm, No. 71
! Energy above the most stable polymorph in this dataset, meV per atom: 126